VASP calculation (PBE) on a relaxed structure of K2BaIn.

## Properties
SG: No. 12
E in hartree per atom: -0.06498
M_tot in μB/f.u.: 0.0
Calculated formation energy in meV per atom: -54
Fermi-level density of states in states/eV/f.u.: 3.65

```
data_K2BaIn
_space_group_name_H-M_alt 'P 1'
_space_group_IT_number 1
_space_group_name_Hall 'P 1'
_cell_length_a 8.9755
_cell_length_b 8.9755
_cell_length_c 6.0618
_cell_angle_alpha 70.32
_cell_angle_beta 70.32
_cell_angle_gamma 27.38
loop_
_atom_site_label
_atom_site_type_symbol
_atom_site_fract_x
_atom_site_fract_y
_atom_site_fract_z
_atom_site_occupancy
Ba1 Ba 0.2500 0.2500 0.2500 1
In1 In 0.7500 0.7500 0.7500 1
K1 K 0.0651 0.0651 0.9351 1
K2 K 0.4349 0.4349 0.5649 1
```